(1)
Compound: ZnSi2
Source: Alexandria
Functional: PBE
Structure: relaxed

```
ZnSi2
1.0
7.0031 0.2766 0.0000
5.9015 3.7805 0.0000
-6.4523 -2.0285 1.8365
Si Zn
2 1
Direct
0.6685 0.6685 0.0000
0.3315 0.3315 0.0000
0.0000 0.0000 0.0000
```

## Properties
Magnetic moment (μB/atom): 0.0000
Total energy (eV per atom): -3.645
Formation energy without anion corrections (eV/atom): 0.3948

***

(2)
Compound: ZnSi
Source: Alexandria
Functional: PBE
Structure: relaxed

```
ZnSi
1.0
-0.0576 6.9403 3.1732
-4.6027 2.4995 -5.5505
-6.0871 -1.9557 4.1669
Zn Si
8 8
Direct
0.3028 0.6972 0.6972
0.1972 0.1972 0.8028
0.3028 0.3028 0.3028
0.6972 0.6972 0.3028
0.1972 0.8028 0.1972
0.6972 0.3028 0.6972
0.8028 0.8028 0.8028
0.8028 0.1972 0.1972
0.1203 0.8797 0.8797
0.6203 0.6203 0.6203
0.3797 0.6203 0.3797
0.3797 0.3797 0.6203
0.8797 0.8797 0.1203
0.6203 0.3797 0.3797
0.1203 0.1203 0.1203
0.8797 0.1203 0.8797
```

## Properties
Magnetic moment (μB/atom): 0.0000
Total energy (eV per atom): -2.731
Formation energy without anion corrections (eV/atom): 0.6176